[1]
A PBEsol-optimized structure of BeAsPt2. Source: the Alexandria database, functional SCAN.

```
4
Lattice="-1.822 1.822 4.195 1.822 -1.822 4.195 1.822 1.822 -4.195" Properties=species:S:1:pos:R:3 pbc="T T T"
Be 0.000 0.000 0.000
As 1.822 0.000 2.098
Pt 0.000 0.000 4.195
Pt 0.000 1.822 2.098
```

Output
E_form = -0.228 eV/atom
crystal system = tetragonal


[2]
A PBEsol-optimized structure of AsP5. Source: the Alexandria database, functional SCAN.

```
6
Lattice="0.000 3.556 3.556 3.556 0.000 3.556 3.556 3.556 0.000" Properties=species:S:1:pos:R:3 pbc="T T T"
As 0.000 0.000 0.000
P 2.691 2.691 2.691
P 4.420 4.420 2.691
P 4.420 2.691 4.420
P 5.333 5.333 5.333
P 2.691 4.420 4.420
```

Output
E_form = 1.059 eV/atom
crystal system = cubic
offset from the most stable computed form = 990 meV/atom


[3]
A PBEsol-optimized structure of Li2BPtRh. Source: the Alexandria database, functional SCAN.

```
5
Lattice="4.013 0.000 0.000 0.000 4.013 0.000 0.000 0.000 3.855" Properties=species:S:1:pos:R:3 pbc="T T T"
Li 0.000 2.006 0.000
Li 2.006 0.000 0.000
B 0.000 0.000 0.000
Pt 2.006 2.006 1.928
Rh 0.000 0.000 1.928
```

Output
E_form = 0.034 eV/atom
crystal system = tetragonal


[4]
A PBEsol-optimized structure of YTa2Cl. Source: the Alexandria database, functional SCAN.

```
4
Lattice="6.078 -1.553 0.000 6.078 1.553 0.000 -1.643 0.000 4.165" Properties=species:S:1:pos:R:3 pbc="T T T"
Y 0.000 0.000 0.000
Ta 1.616 0.000 3.049
Ta 8.897 0.000 1.116
Cl 5.256 0.000 2.082
```

Output
energy relative to the elements, uncorrected = 0.08 eV per atom
crystal system = monoclinic
offset from the most stable computed form = 247 meV/atom


[5]
A PBEsol-optimized structure of Ba3BeGa. Source: the Alexandria database, functional SCAN.

```
5
Lattice="6.249 0.000 0.000 0.000 6.249 0.000 0.000 0.000 6.249" Properties=species:S:1:pos:R:3 pbc="T T T"
Ba 0.000 0.000 3.125
Ba 0.000 3.125 0.000
Ba 3.125 0.000 0.000
Be 3.125 3.125 3.125
Ga 0.000 0.000 0.000
```

Output
E_form = 0.485 eV/atom
crystal system = cubic


[6]
A PBEsol-optimized structure of ZrGeAs2Se. Source: the Alexandria database, functional SCAN.

```
5
Lattice="4.737 0.000 0.000 0.000 4.737 0.000 0.000 0.000 4.910" Properties=species:S:1:pos:R:3 pbc="T T T"
Zr 0.000 0.000 0.000
Ge 2.369 2.369 2.455
As 0.000 2.369 2.455
As 2.369 0.000 2.455
Se 2.369 2.369 0.000
```

Output
energy relative to the elements, uncorrected = 0.44 eV per atom
crystal system = tetragonal


[7]
A PBEsol-optimized structure of BeRhAu2. Source: the Alexandria database, functional SCAN.

```
4
Lattice="1.400 0.809 8.271 -1.400 0.809 8.271 0.000 -1.617 8.271" Properties=species:S:1:pos:R:3 pbc="T T T"
Be 0.000 0.000 0.000
Rh 0.000 0.000 12.407
Au 0.000 0.000 6.440
Au 0.000 0.000 18.374
```

Output
E_form = -0.010 eV/atom
crystal system = trigonal


[8]
A PBEsol-optimized structure of YRe2. Source: the Alexandria database, functional SCAN.

```
6
Lattice="0.000 3.794 3.794 3.794 0.000 3.794 3.794 3.794 0.000" Properties=species:S:1:pos:R:3 pbc="T T T"
Y 0.948 0.948 0.948
Y 6.639 6.639 6.639
Re 3.794 1.897 1.897
Re 1.897 3.794 1.897
Re 1.897 1.897 3.794
Re 3.794 3.794 3.794
```

Output
E_form = -0.284 eV/atom
crystal system = cubic